Entry 1:
First-principles (GGA-PBE) data for a relaxed TiNb2AlB crystal, as listed in the Alexandria database.

Computed properties:
Mass density = 4.61 g/cm³
Formation energy = 1703 meV/atom
E_tot = -5.99 eV per atom

Unit cell a=4.6592 b=4.5091 c=4.6592 alpha=90.00 beta=90.00 gamma=90.00
With the nearest neighbours (Å) after each atom.
Fractional positions:
Nb 0.0000 0.0000 0.5000  2 Al 2.33
Nb 0.5000 0.0000 0.0000  2 Al 2.33
B 0.5000 0.5000 0.5000  8 Nb 3.24, 4 Ti 3.29
Al 0.0000 0.0000 0.0000  2 Ti 2.25, 4 Nb 2.33
Ti 0.0000 0.5000 0.0000  2 Al 2.25

---

Entry 2:
First-principles (GGA-PBE) data for a relaxed PmPr4Te6 crystal, as listed in the Alexandria database.

Computed properties:
Mass density = 6.52 g/cm³
E_form (uncorrected) = -15.86 eV per formula unit
E_tot = -5.33 eV per atom

Unit cell a=4.3987 b=7.7395 c=23.0015 alpha=90.00 beta=90.00 gamma=106.51
With the nearest neighbours (Å) after each atom.
Fractional positions:
Pm 0.6561 0.3122 0.2500  6 Te 3.18-3.24
Pm 0.3439 0.6878 0.7500  6 Te 3.18-3.24
Pr 0.8563 0.7126 0.5367  6 Te 3.17-3.28
Pr 0.4148 0.8296 0.1272  6 Te 3.18-3.22
Pr 0.1437 0.2874 0.4633  6 Te 3.17-3.28
Pr 0.5852 0.1704 0.8728  6 Te 3.18-3.22
Pr 0.8563 0.7126 0.9633  6 Te 3.17-3.28
Pr 0.1437 0.2874 0.0367  6 Te 3.17-3.28
Pr 0.5852 0.1704 0.6272  6 Te 3.18-3.22
Pr 0.4148 0.8296 0.3728  6 Te 3.18-3.22
Te 0.5000 0.0000 0.0000  6 Pr 3.18-3.19
Te 0.5000 0.0000 0.5000  6 Pr 3.18-3.19
Te 0.0590 0.1180 0.3323  3 Pr 3.21-3.26, 2 Pm 3.24
Te 0.9410 0.8820 0.6677  3 Pr 3.21-3.26, 2 Pm 3.24
Te 0.9410 0.8820 0.8323  3 Pr 3.21-3.26, 2 Pm 3.24
Te 0.0590 0.1180 0.1677  3 Pr 3.21-3.26, 2 Pm 3.24
Te 0.7692 0.5384 0.4058  5 Pr 3.17-3.28
Te 0.2308 0.4616 0.5942  5 Pr 3.17-3.28
Te 0.2308 0.4616 0.9058  5 Pr 3.17-3.28
Te 0.7692 0.5384 0.0942  5 Pr 3.17-3.28
Te 0.3109 0.6218 0.2500  2 Pm 3.18, 2 Pr 3.22
Te 0.6891 0.3782 0.7500  2 Pm 3.18, 2 Pr 3.22

---

Entry 3:
First-principles (GGA-PBE) data for a relaxed YMgF2 crystal, as listed in the Alexandria database.

Computed properties:
Mass density = 3.43 g/cm³
Energy above the most stable polymorph in this dataset = 79 kJ/mol of formula units
E_form (uncorrected) = -8.38 eV per formula unit
E_tot = -5.05 eV per atom

Unit cell a=5.2498 b=5.2498 c=6.4837 alpha=66.12 beta=66.12 gamma=90.00
With the nearest neighbours (Å) after each atom.
Fractional positions:
Y 0.0000 0.0000 0.0000  4 F 2.48
Y 0.7500 0.2500 0.5000  4 F 2.48
Mg 0.5000 0.5000 0.0000  4 F 2.11
Mg 0.2500 0.7500 0.5000  4 F 2.11
F 0.5632 0.1250 0.2500  2 Mg 2.11
F 0.1868 0.6250 0.2500  2 Mg 2.11
F 0.3750 0.4368 0.7500  2 Mg 2.11
F 0.8750 0.8132 0.7500  2 Mg 2.11